1.
# Li3Cu2W4O16, relaxed, DFT GGA-PBEsol
data_Li3Cu2W4O16
_chemical_formula_sum 'Li3 Cu2 W4 O16'
_cell_length_a 5.699
_cell_length_b 6.660
_cell_length_c 7.941
_cell_angle_alpha 72.10
_cell_angle_beta 80.86
_cell_angle_gamma 72.27
_space_group_name_H-M_alt 'P 1'
_space_group_IT_number 1
loop_
_space_group_symop_operation_xyz
'x,y,z'
loop_
_atom_site_label
_atom_site_fract_x
_atom_site_fract_y
_atom_site_fract_z
_atom_site_occupancy
Li1 0.000 0.000 0.000 1
Li2 0.136 0.708 0.748 1
Li3 0.499 0.490 0.493 1
Cu1 0.067 0.850 0.371 1
Cu2 0.569 0.361 0.881 1
W1 0.047 0.396 0.166 1
W2 0.081 0.305 0.579 1
W3 0.553 0.904 0.664 1
W4 0.586 0.809 0.083 1
O1 0.047 0.112 0.192 1
O2 0.102 0.588 0.555 1
O3 0.205 0.993 0.589 1
O4 0.231 0.450 0.956 1
O5 0.273 0.351 0.323 1
O6 0.350 0.864 0.927 1
O7 0.403 0.756 0.293 1
O8 0.425 0.215 0.656 1
O9 0.528 0.619 0.694 1
O10 0.600 0.091 0.047 1
O11 0.715 0.499 0.078 1
O12 0.739 0.938 0.460 1
O13 0.789 0.845 0.818 1
O14 0.842 0.366 0.427 1
O15 0.900 0.263 0.791 1
O16 0.924 0.718 0.160 1
# Uncorrected formation energy   -1.84 eV per atom
# DFT total energy   -7.990 eV/atom
# Total magnetic moment   0.04 μB/atom
# DOS(E_F)   4.85 states/eV/cell

2.
# Li2ZrCuO4, relaxed, DFT GGA-PBEsol
data_Li2ZrCuO4
_chemical_formula_sum 'Li4 Zr2 Cu2 O8'
_cell_length_a 4.178
_cell_length_b 4.178
_cell_length_c 8.696
_cell_angle_alpha 90.00
_cell_angle_beta 90.00
_cell_angle_gamma 90.00
_space_group_name_H-M_alt 'I -4 m 2'
_space_group_IT_number 119
_space_group_name_Hall 'I -4 -2'
loop_
_atom_site_label
_atom_site_fract_x
_atom_site_fract_y
_atom_site_fract_z
_atom_site_occupancy
Li1 0.000 0.000 0.000 1
Li2 0.000 0.500 0.250 1
Zr1 0.000 0.000 0.500 1
Cu1 0.000 0.500 0.750 1
O1 0.000 0.000 0.259 1
O2 0.000 0.500 0.002 1
# Uncorrected formation energy   -2.17 eV per atom
# DFT total energy   -6.960 eV/atom
# Total magnetic moment   0.00 μB/atom
# DOS(E_F)   5.58 states/eV/cell